The following is a PBE-GGA calculation of a relaxed structure of Ba2Na5Cd4, from Alexandria.

Calculated values
- D(E_F): 5.51 states/eV per cell
- DFT formation energy: -0.13 eV/atom
- Calculated volume: 373 Å³/f.u.

a b c (Å): 8.2674 8.2674 8.2674
angles (deg): 133.69 104.69 93.20
Sites, in units of the cell vectors:
Ba 0.2139 0.2139 0.0000
Ba 0.7861 0.7861 0.0000
Na 0.0000 0.5000 0.5000
Na 0.3125 0.2472 0.5597
Na 0.3125 0.7528 0.0654
Na 0.6875 0.2472 0.9346
Na 0.6875 0.7528 0.4403
Cd 0.0847 0.7428 0.3419
Cd 0.4009 0.7428 0.6581
Cd 0.5991 0.2572 0.3419
Cd 0.9153 0.2572 0.6581